Record 1
Computed, not measured: crystalline Mg2SnHgIr at its relaxed geometry at the PBE level of DFT.

Cell and atoms, written as extended XYZ:
```
5
Lattice="5.101 0.000 0.000 0.000 5.101 0.000 0.000 0.000 5.028" Properties=species:S:1:pos:R:3 pbc="T T T"
Mg 0.000 2.550 0.000
Mg 2.550 0.000 0.000
Sn 0.000 0.000 2.514
Hg 2.550 2.550 2.514
Ir 0.000 0.000 0.000
```

Computed properties:
DFT total energy = -3.4174 eV/atom
Space-group type = P4/mmm (123)


Record 2
Computed, not measured: crystalline Sr2MgHgIr at its relaxed geometry at the PBE level of DFT.

Cell and atoms, written as extended XYZ:
```
5
Lattice="5.802 0.000 0.000 0.000 5.802 0.000 0.000 0.000 5.032" Properties=species:S:1:pos:R:3 pbc="T T T"
Sr 0.000 2.901 0.000
Sr 2.901 0.000 0.000
Mg 0.000 0.000 2.516
Hg 2.901 2.901 2.516
Ir 0.000 0.000 0.000
```

Computed properties:
DFT total energy = -3.0125 eV/atom
Space-group type = P4/mmm (123)


Record 3
Computed, not measured: crystalline SrMg2HgIr at its relaxed geometry at the PBE level of DFT.

Cell and atoms, written as extended XYZ:
```
5
Lattice="4.999 0.000 0.000 0.000 4.999 0.000 0.000 0.000 5.374" Properties=species:S:1:pos:R:3 pbc="T T T"
Sr 0.000 0.000 0.000
Mg 0.000 2.500 2.687
Mg 2.500 0.000 2.687
Hg 2.500 2.500 0.000
Ir 2.500 2.500 2.687
```

Computed properties:
DFT total energy = -3.0099 eV/atom
Space-group type = P4/mmm (123)


Record 4
Computed, not measured: crystalline TbMgHgIr at its relaxed geometry at the PBE level of DFT.

Cell and atoms, written as extended XYZ:
```
4
Lattice="0.000 3.447 3.447 3.447 0.000 3.447 3.447 3.447 0.000" Properties=species:S:1:pos:R:3 pbc="T T T"
Tb 0.000 0.000 0.000
Mg 3.447 3.447 3.447
Hg 1.724 1.724 1.724
Ir 5.171 5.171 5.171
```

Computed properties:
DFT total energy = -4.2542 eV/atom
Space-group type = F-43m (216)


Record 5
Computed, not measured: crystalline ThMgHgIr at its relaxed geometry at the PBE level of DFT.

Cell and atoms, written as extended XYZ:
```
4
Lattice="0.000 3.541 3.541 3.541 0.000 3.541 3.541 3.541 0.000" Properties=species:S:1:pos:R:3 pbc="T T T"
Th 0.000 0.000 0.000
Mg 3.541 3.541 3.541
Hg 5.312 5.312 5.312
Ir 1.771 1.771 1.771
```

Computed properties:
DFT total energy = -4.9197 eV/atom
Space-group type = F-43m (216)


Record 6
Computed, not measured: crystalline TmMgHgIr at its relaxed geometry at the PBE level of DFT.

Cell and atoms, written as extended XYZ:
```
4
Lattice="0.000 3.408 3.408 3.408 0.000 3.408 3.408 3.408 0.000" Properties=species:S:1:pos:R:3 pbc="T T T"
Tm 0.000 0.000 0.000
Mg 3.408 3.408 3.408
Hg 5.112 5.112 5.112
Ir 1.704 1.704 1.704
```

Computed properties:
DFT total energy = -4.2502 eV/atom
Space-group type = F-43m (216)


Record 7
Computed, not measured: crystalline MgZnHgIr at its relaxed geometry at the PBE level of DFT.

Cell and atoms, written as extended XYZ:
```
4
Lattice="0.000 3.212 3.212 3.212 0.000 3.212 3.212 3.212 0.000" Properties=species:S:1:pos:R:3 pbc="T T T"
Mg 0.000 0.000 0.000
Zn 3.212 3.212 3.212
Hg 4.818 4.818 4.818
Ir 1.606 1.606 1.606
```

Computed properties:
DFT total energy = -3.0604 eV/atom
Space-group type = F-43m (216)


Record 8
Computed, not measured: crystalline MgZrHgIr at its relaxed geometry at the PBE level of DFT.

Cell and atoms, written as extended XYZ:
```
4
Lattice="0.000 3.347 3.347 3.347 0.000 3.347 3.347 3.347 0.000" Properties=species:S:1:pos:R:3 pbc="T T T"
Mg 0.000 0.000 0.000
Zr 3.347 3.347 3.347
Hg 5.021 5.021 5.021
Ir 1.674 1.674 1.674
```

Computed properties:
DFT total energy = -5.1945 eV/atom
Space-group type = F-43m (216)


Record 9
Computed, not measured: crystalline MgZrHgIr at its relaxed geometry at the PBE level of DFT.

Cell and atoms, written as extended XYZ:
```
4
Lattice="3.215 0.000 0.000 0.000 3.215 0.000 0.000 0.000 7.378" Properties=species:S:1:pos:R:3 pbc="T T T"
Mg 0.000 0.000 0.000
Zr 0.000 0.000 3.241
Hg 1.607 1.607 5.461
Ir 1.607 1.607 1.652
```

Computed properties:
DFT total energy = -5.2835 eV/atom
Space-group type = P4mm (99)


Record 10
Computed, not measured: crystalline Mn2HgIr at its relaxed geometry at the PBE level of DFT.

Cell and atoms, written as extended XYZ:
```
4
Lattice="2.855 0.000 0.000 0.000 3.503 0.000 0.000 0.000 6.088" Properties=species:S:1:pos:R:3 pbc="T T T"
Mn 0.000 0.000 0.000
Mn 1.428 1.752 1.359
Hg 0.000 0.000 3.029
Ir 1.428 1.752 4.932
```

Computed properties:
DFT total energy = -6.6175 eV/atom
Space-group type = Pmm2 (25)


Record 11
Computed, not measured: crystalline MnHgIr2 at its relaxed geometry at the PBE level of DFT.

Cell and atoms, written as extended XYZ:
```
4
Lattice="2.861 -3.756 0.000 2.861 3.756 0.000 0.000 0.000 2.955" Properties=species:S:1:pos:R:3 pbc="T T T"
Mn 0.000 0.000 0.000
Hg 2.861 0.000 0.000
Ir 1.431 1.878 1.477
Ir 1.431 -1.878 1.477
```

Computed properties:
DFT total energy = -6.4319 eV/atom
Space-group type = Cmmm (65)


Record 12
Computed, not measured: crystalline MnHgIr2 at its relaxed geometry at the PBE level of DFT.

Cell and atoms, written as extended XYZ:
```
4
Lattice="1.441 -2.406 0.000 1.441 2.406 0.000 0.000 0.000 9.309" Properties=species:S:1:pos:R:3 pbc="T T T"
Mn 0.000 0.000 0.000
Hg 0.000 0.000 4.654
Ir 1.441 0.000 2.055
Ir 1.441 0.000 7.254
```

Computed properties:
DFT total energy = -6.5395 eV/atom
Space-group type = Cmmm (65)


Record 13
Computed, not measured: crystalline MnHgIr2 at its relaxed geometry at the PBE level of DFT.

Cell and atoms, written as extended XYZ:
```
4
Lattice="2.840 0.000 0.000 0.000 3.897 0.000 0.000 0.000 5.746" Properties=species:S:1:pos:R:3 pbc="T T T"
Mn 0.000 0.000 0.000
Hg 1.420 1.949 1.594
Ir 0.000 0.000 3.199
Ir 1.420 1.949 4.510
```

Computed properties:
DFT total energy = -6.5612 eV/atom
Space-group type = Pmm2 (25)


Record 14
Computed, not measured: crystalline MnHgIr2 at its relaxed geometry at the PBE level of DFT.

Cell and atoms, written as extended XYZ:
```
4
Lattice="2.844 0.000 0.000 0.000 2.844 0.000 0.000 0.000 7.931" Properties=species:S:1:pos:R:3 pbc="T T T"
Mn 0.000 0.000 0.000
Hg 1.422 1.422 2.164
Ir 0.000 0.000 4.359
Ir 1.422 1.422 6.161
```

Computed properties:
DFT total energy = -6.5823 eV/atom
Space-group type = P4mm (99)


Record 15
Computed, not measured: crystalline Mn2HgIr at its relaxed geometry at the PBE level of DFT.

Cell and atoms, written as extended XYZ:
```
4
Lattice="1.426 0.823 8.943 -1.426 0.823 8.943 0.000 -1.646 8.943" Properties=species:S:1:pos:R:3 pbc="T T T"
Mn 0.000 0.000 0.000
Mn 0.000 0.000 6.916
Hg 0.000 0.000 13.412
Ir 0.000 0.000 19.808
```

Computed properties:
DFT total energy = -6.5409 eV/atom
Space-group type = R3m (160)


Record 16
Computed, not measured: crystalline MnHg3Ir at its relaxed geometry at the PBE level of DFT.

Cell and atoms, written as extended XYZ:
```
5
Lattice="5.239 0.000 0.000 0.000 5.239 0.000 0.000 0.000 5.239" Properties=species:S:1:pos:R:3 pbc="T T T"
Mn 0.000 0.000 0.000
Hg 0.000 2.619 2.619
Hg 2.619 0.000 2.619
Hg 2.619 2.619 0.000
Ir 2.619 2.619 2.619
```

Computed properties:
DFT total energy = -3.0021 eV/atom
Space-group type = Pm-3m (221)


Record 17
Computed, not measured: crystalline MnHgIr2 at its relaxed geometry at the PBE level of DFT.

Cell and atoms, written as extended XYZ:
```
4
Lattice="2.863 0.000 0.000 0.000 2.863 0.000 0.000 0.000 7.610" Properties=species:S:1:pos:R:3 pbc="T T T"
Mn 0.000 0.000 0.000
Hg 0.000 0.000 3.805
Ir 1.431 1.431 1.596
Ir 1.431 1.431 6.014
```

Computed properties:
DFT total energy = -6.6601 eV/atom
Space-group type = P4/mmm (123)


Record 18
Computed, not measured: crystalline MnHgIr2 at its relaxed geometry at the PBE level of DFT.

Cell and atoms, written as extended XYZ:
```
4
Lattice="0.000 3.183 3.183 3.183 0.000 3.183 3.183 3.183 0.000" Properties=species:S:1:pos:R:3 pbc="T T T"
Mn 0.000 0.000 0.000
Hg 4.775 4.775 4.775
Ir 1.592 1.592 1.592
Ir 3.183 3.183 3.183
```

Computed properties:
DFT total energy = -6.3410 eV/atom
Space-group type = F-43m (216)


Record 19
Computed, not measured: crystalline Mn2HgIr at its relaxed geometry at the PBE level of DFT.

Cell and atoms, written as extended XYZ:
```
4
Lattice="4.408 -1.479 0.000 4.408 1.479 0.000 -0.972 0.000 4.988" Properties=species:S:1:pos:R:3 pbc="T T T"
Mn 1.917 0.000 1.137
Mn 5.927 0.000 3.851
Hg -0.486 0.000 2.494
Ir 4.408 0.000 0.000
```

Computed properties:
DFT total energy = -6.5558 eV/atom
Space-group type = C2/m (12)


Record 20
Computed, not measured: crystalline Mn4HgIr at its relaxed geometry at the PBE level of DFT.

Cell and atoms, written as extended XYZ:
```
6
Lattice="0.000 3.421 3.421 3.421 0.000 3.421 3.421 3.421 0.000" Properties=species:S:1:pos:R:3 pbc="T T T"
Mn 0.855 0.855 0.855
Mn 2.566 2.566 0.855
Mn 2.566 0.855 2.566
Mn 0.855 2.566 2.566
Hg 5.131 5.131 5.131
Ir 3.421 3.421 3.421
```

Computed properties:
DFT total energy = -7.3048 eV/atom
Space-group type = F-43m (216)


Record 21
Computed, not measured: crystalline MnHgIr at its relaxed geometry at the PBE level of DFT.

Cell and atoms, written as extended XYZ:
```
3
Lattice="2.919 0.000 0.000 -1.460 2.528 0.000 0.000 0.000 6.734" Properties=species:S:1:pos:R:3 pbc="T T T"
Mn 0.000 0.000 0.000
Hg 0.000 1.685 2.325
Ir 1.460 0.843 4.787
```

Computed properties:
DFT total energy = -5.8128 eV/atom
Space-group type = P3m1 (156)


Record 22
Computed, not measured: crystalline MnHgIr2 at its relaxed geometry at the PBE level of DFT.

Cell and atoms, written as extended XYZ:
```
4
Lattice="4.590 -1.448 0.000 4.590 1.448 0.000 -0.919 0.000 4.824" Properties=species:S:1:pos:R:3 pbc="T T T"
Mn 0.000 0.000 0.000
Hg 6.716 0.000 1.237
Ir 1.673 0.000 3.640
Ir 4.231 0.000 2.690
```

Computed properties:
DFT total energy = -6.5162 eV/atom
Space-group type = Cm (8)


Record 23
Computed, not measured: crystalline MnHgIr2 at its relaxed geometry at the PBE level of DFT.

Cell and atoms, written as extended XYZ:
```
4
Lattice="1.435 0.828 8.966 -1.435 0.828 8.966 0.000 -1.657 8.966" Properties=species:S:1:pos:R:3 pbc="T T T"
Mn 0.000 0.000 0.000
Hg 0.000 0.000 6.600
Ir 0.000 0.000 13.136
Ir 0.000 0.000 19.922
```

Computed properties:
DFT total energy = -6.4929 eV/atom
Space-group type = R3m (160)


Record 24
Computed, not measured: crystalline Mn2HgIr at its relaxed geometry at the PBE level of DFT.

Cell and atoms, written as extended XYZ:
```
4
Lattice="-1.537 2.252 4.594 1.537 -2.252 4.594 1.537 2.252 -4.594" Properties=species:S:1:pos:R:3 pbc="T T T"
Mn 0.000 0.000 0.000
Mn 0.000 2.252 2.267
Hg 1.537 0.000 2.383
Ir 0.000 0.000 4.813
```

Computed properties:
DFT total energy = -6.6119 eV/atom
Space-group type = Imm2 (44)


Record 25
Computed, not measured: crystalline Mn2HgIr2 at its relaxed geometry at the PBE level of DFT.

Cell and atoms, written as extended XYZ:
```
5
Lattice="-1.954 1.954 5.067 1.954 -1.954 5.067 1.954 1.954 -5.067" Properties=species:S:1:pos:R:3 pbc="T T T"
Mn 0.000 0.000 1.008
Mn 0.000 0.000 9.125
Hg 0.000 0.000 5.067
Ir 1.954 0.000 2.533
Ir 0.000 1.954 2.533
```

Computed properties:
DFT total energy = -6.9583 eV/atom
Space-group type = I4/mmm (139)


Record 26
Computed, not measured: crystalline Mn2HgIr at its relaxed geometry at the PBE level of DFT.

Cell and atoms, written as extended XYZ:
```
4
Lattice="3.051 -3.414 0.000 3.051 3.414 0.000 0.000 0.000 3.044" Properties=species:S:1:pos:R:3 pbc="T T T"
Mn 1.525 1.707 0.000
Mn 1.525 -1.707 0.000
Hg 0.000 0.000 1.522
Ir 3.051 0.000 1.522
```

Computed properties:
DFT total energy = -6.6866 eV/atom
Space-group type = Cmmm (65)


Record 27
Computed, not measured: crystalline Mn2HgIr at its relaxed geometry at the PBE level of DFT.

Cell and atoms, written as extended XYZ:
```
4
Lattice="3.036 0.000 0.000 0.000 3.036 0.000 0.000 0.000 7.011" Properties=species:S:1:pos:R:3 pbc="T T T"
Mn 0.000 0.000 1.563
Mn 0.000 0.000 5.448
Hg 1.518 1.518 3.505
Ir 1.518 1.518 0.000
```

Computed properties:
DFT total energy = -6.7585 eV/atom
Space-group type = P4/mmm (123)


Record 28
Computed, not measured: crystalline MnHgIr2 at its relaxed geometry at the PBE level of DFT.

Cell and atoms, written as extended XYZ:
```
4
Lattice="1.435 0.828 8.914 -1.435 0.828 8.914 0.000 -1.657 8.914" Properties=species:S:1:pos:R:3 pbc="T T T"
Mn 0.000 0.000 0.000
Hg 0.000 0.000 13.371
Ir 0.000 0.000 6.975
Ir 0.000 0.000 19.767
```

Computed properties:
DFT total energy = -6.6209 eV/atom
Space-group type = R-3m (166)


Record 29
Computed, not measured: crystalline Mn2HgIr at its relaxed geometry at the PBE level of DFT.

Cell and atoms, written as extended XYZ:
```
4
Lattice="0.000 3.177 3.177 3.177 0.000 3.177 3.177 3.177 0.000" Properties=species:S:1:pos:R:3 pbc="T T T"
Mn 0.000 0.000 0.000
Mn 1.589 1.589 1.589
Hg 4.766 4.766 4.766
Ir 3.177 3.177 3.177
```

Computed properties:
DFT total energy = -6.5482 eV/atom
Space-group type = F-43m (216)


Record 30
Computed, not measured: crystalline Mn2HgIr at its relaxed geometry at the PBE level of DFT.

Cell and atoms, written as extended XYZ:
```
4
Lattice="4.681 -1.480 0.000 4.681 1.480 0.000 -0.964 0.000 4.597" Properties=species:S:1:pos:R:3 pbc="T T T"
Mn 0.000 0.000 0.000
Mn 1.581 0.000 3.291
Hg 4.102 0.000 2.262
Ir 6.703 0.000 0.855
```

Computed properties:
DFT total energy = -6.6369 eV/atom
Space-group type = Cm (8)